4
Lattice="3.8031 0.0000 0.0000 0.0000 3.8001 0.0000 0.0000 0.0000 7.4164" Properties=species:S:1:pos:R:3 comment="Ca2MnCd, optimized geometry, DFT PBE-GGA" e_form_ev_per_atom=0.0970 dft_energy_ha_per_atom=-0.12587 magmom_total_mub_per_fu=3.755 vol_a3_per_atom=26.795 pbc="T T T"
Ca 0.0000 0.0000 7.3495
Ca 0.0000 0.0000 3.7751
Mn 1.9015 1.9000 5.5623
Cd 1.9015 1.9000 1.8541